A geometry-optimized Sc2AlPd3 structure, computed with GGA-PBE.

Output
- DFT formation energy: -0.64 eV/atom
- Polymorph energy (0 for the lowest one): 274.5 meV/atom

a = 4.390 Å, b = 5.190 Å, c = 9.789 Å
α = 90.00°, β = 90.00°, γ = 90.00°
Space group Immm (No. 71)
Asymmetric unit:
Sc  0.000  0.000  0.190 (multiplicity 4)
Al  0.000  0.000  0.500 (multiplicity 2)
Pd  0.000  0.500  0.137 (multiplicity 4)
Pd  0.000  0.500  0.500 (multiplicity 2)